No. 1
This record from Alexandria describes an optimized crystal structure of DyZnCu2. The functional is PBE.

a = 6.964 Å, b = 4.135 Å, c = 9.424 Å
α = 90.00°, β = 90.00°, γ = 90.00°
Fractional positions:
Dy (0.224, 0.250, 0.180)
Dy (0.276, 0.750, 0.680)
Dy (0.724, 0.250, 0.320)
Dy (0.776, 0.750, 0.820)
Zn (0.052, 0.750, 0.394)
Zn (0.448, 0.250, 0.894)
Zn (0.552, 0.750, 0.106)
Zn (0.948, 0.250, 0.606)
Cu (0.071, 0.250, 0.878)
Cu (0.236, 0.750, 0.970)
Cu (0.264, 0.250, 0.470)
Cu (0.429, 0.750, 0.378)
Cu (0.571, 0.250, 0.622)
Cu (0.736, 0.750, 0.530)
Cu (0.764, 0.250, 0.030)
Cu (0.929, 0.750, 0.122)

ΔH_f (0 K): -1.11 eV/f.u.
DOS at the Fermi energy: 0.505 states/eV per atom
E_tot: -3.795 eV per atom
Total moment: 0.0 μB per formula unit

***

No. 2
This record from Alexandria describes an optimized crystal structure of RbCo4Sb12. The functional is PBE.

a = 7.988 Å, b = 7.988 Å, c = 7.988 Å
α = 109.47°, β = 109.47°, γ = 109.47°
Fractional positions:
Rb (0.000, 0.000, 0.000)
Co (0.000, 0.000, 0.500)
Co (0.000, 0.500, 0.000)
Co (0.500, 0.000, 0.000)
Co (0.500, 0.500, 0.500)
Sb (0.162, 0.339, 0.501)
Sb (0.162, 0.661, 0.824)
Sb (0.176, 0.838, 0.339)
Sb (0.339, 0.176, 0.838)
Sb (0.339, 0.501, 0.162)
Sb (0.499, 0.838, 0.661)
Sb (0.501, 0.162, 0.339)
Sb (0.661, 0.499, 0.838)
Sb (0.661, 0.824, 0.162)
Sb (0.824, 0.162, 0.661)
Sb (0.838, 0.339, 0.176)
Sb (0.838, 0.661, 0.499)

DOS at the Fermi energy: 0.382 states/eV per atom
E_tot: -4.835 eV per atom
Total moment: 0.0 μB per formula unit

***

No. 3
This record from Alexandria describes an optimized crystal structure of Ca2Cu4GeP3. The functional is PBE.

a = 4.001 Å, b = 4.001 Å, c = 10.203 Å
α = 90.00°, β = 90.00°, γ = 90.00°
Fractional positions:
Ca (0.000, 0.500, 0.237)
Ca (0.500, 0.000, 0.763)
Cu (0.000, 0.000, 0.000)
Cu (0.000, 0.500, 0.642)
Cu (0.500, 0.000, 0.358)
Cu (0.500, 0.500, 0.000)
Ge (0.000, 0.000, 0.500)
P (0.000, 0.500, 0.867)
P (0.500, 0.000, 0.133)
P (0.500, 0.500, 0.500)

ΔH_f (0 K): -5.38 eV/f.u.
DOS at the Fermi energy: 0.145 states/eV per atom
E_tot: -4.661 eV per atom
Total moment: 0.0 μB per formula unit

***

What did the third record say?
This record from Alexandria describes an optimized crystal structure of Ca2Cu4GeP3. The functional is PBE.

a = 4.001 Å, b = 4.001 Å, c = 10.203 Å
α = 90.00°, β = 90.00°, γ = 90.00°
Fractional positions:
Ca (0.000, 0.500, 0.237)
Ca (0.500, 0.000, 0.763)
Cu (0.000, 0.000, 0.000)
Cu (0.000, 0.500, 0.642)
Cu (0.500, 0.000, 0.358)
Cu (0.500, 0.500, 0.000)
Ge (0.000, 0.000, 0.500)
P (0.000, 0.500, 0.867)
P (0.500, 0.000, 0.133)
P (0.500, 0.500, 0.500)

ΔH_f (0 K): -5.38 eV/f.u.
DOS at the Fermi energy: 0.145 states/eV per atom
E_tot: -4.661 eV per atom
Total moment: 0.0 μB per formula unit